Record 1
{"formula": "AgMo2Se", "functional": "PBE-GGA", "state": "optimized geometry", "lattice": [[4.012, 0.000, 0.000], [0.000, 4.012, 0.000], [0.000, 0.000, 8.211]], "species": ["Ag", "Ag", "Mo", "Mo", "Mo", "Mo", "Se", "Se"], "fractional_positions": [[0.000, 0.000, 0.000], [0.500, 0.500, 0.500], [0.000, 0.000, 0.500], [0.000, 0.500, 0.750], [0.500, 0.000, 0.250], [0.500, 0.500, 0.000], [0.000, 0.500, 0.250], [0.500, 0.000, 0.750]], "final_energy_ev_per_fu": -25.36, "crystal_system": "tetragonal", "spacegroup": "I-4m2, No. 119", "formation_energy_uncorrected_mev_per_atom": 658.9, "m_tot_mub_per_fu": 0.000}

***

Record 2
{"formula": "Ag2MoSe", "functional": "PBE-GGA", "state": "optimized geometry", "lattice": [[3.248, 0.000, 0.000], [0.000, 4.762, 0.000], [0.000, 0.000, 9.831]], "species": ["Ag", "Ag", "Ag", "Ag", "Mo", "Mo", "Se", "Se"], "fractional_positions": [[0.000, 0.000, 0.000], [0.000, 0.500, 0.239], [0.500, 0.000, 0.239], [0.500, 0.500, 0.000], [0.000, 0.500, 0.756], [0.500, 0.000, 0.756], [0.000, 0.000, 0.559], [0.500, 0.500, 0.559]], "final_energy_ev_per_fu": -18.82, "crystal_system": "orthorhombic", "spacegroup": "Cmm2, No. 35", "formation_energy_uncorrected_mev_per_atom": 299.3, "m_tot_mub_per_fu": 0.000}

***

Record 3
{"formula": "AgMo2Se", "functional": "PBE-GGA", "state": "optimized geometry", "lattice": [[2.967, 0.000, 0.000], [0.000, 2.967, 0.000], [0.000, 0.000, 8.109]], "species": ["Ag", "Mo", "Mo", "Se"], "fractional_positions": [[0.000, 0.000, 0.000], [0.000, 0.000, 0.490], [0.500, 0.500, 0.258], [0.500, 0.500, 0.679]], "final_energy_ev_per_fu": -26.92, "crystal_system": "tetragonal", "spacegroup": "P4mm, No. 99", "formation_energy_uncorrected_mev_per_atom": 268.3, "m_tot_mub_per_fu": 0.000}

***

Record 4
{"formula": "Ag2MoSe", "functional": "PBE-GGA", "state": "optimized geometry", "lattice": [[2.736, 0.000, 0.000], [0.000, 4.519, 0.000], [-1.357, 0.000, 5.829]], "species": ["Ag", "Ag", "Mo", "Se"], "fractional_positions": [[0.000, 0.000, 0.000], [0.384, 0.500, 0.770], [0.635, 0.500, 0.271], [0.732, 0.000, 0.468]], "final_energy_ev_per_fu": -18.57, "crystal_system": "monoclinic", "spacegroup": "Pm, No. 6", "formation_energy_uncorrected_mev_per_atom": 362.6, "m_tot_mub_per_fu": 0.000}

***

Record 5
{"formula": "Ag2MoSe", "functional": "PBE-GGA", "state": "optimized geometry", "lattice": [[2.799, 0.000, 0.000], [0.000, 5.210, 0.000], [-0.310, 0.000, 5.008]], "species": ["Ag", "Ag", "Mo", "Se"], "fractional_positions": [[0.232, 0.000, 0.242], [0.768, 0.000, 0.758], [0.500, 0.500, 0.000], [0.500, 0.500, 0.500]], "final_energy_ev_per_fu": -18.16, "crystal_system": "monoclinic", "spacegroup": "P2/m, No. 10", "formation_energy_uncorrected_mev_per_atom": 463.7, "m_tot_mub_per_fu": 0.000}

***

Record 6
{"formula": "AgMoSe2", "functional": "PBE-GGA", "state": "optimized geometry", "lattice": [[5.683, 0.000, 0.000], [0.000, 3.279, 0.000], [-1.478, 0.000, 8.367]], "species": ["Ag", "Ag", "Mo", "Mo", "Se", "Se", "Se", "Se"], "fractional_positions": [[0.000, 0.000, 0.000], [0.500, 0.500, 0.000], [0.000, 0.500, 0.500], [0.500, 0.000, 0.500], [0.220, 0.000, 0.708], [0.280, 0.500, 0.292], [0.720, 0.500, 0.708], [0.780, 0.000, 0.292]], "final_energy_ev_per_fu": -21.31, "crystal_system": "monoclinic", "de_polymorph_ev_per_fu": 0.09, "spacegroup": "C2/m, No. 12", "formation_energy_uncorrected_mev_per_atom": -163.4, "m_tot_mub_per_fu": 0.000}